This record from the Alexandria database describes a geometry-optimized RbSn2Sb4 structure. The functional is GGA-PBE.

Properties
- Raw formation energy: -0.06 eV/atom
- Fermi-level density of states: 0.336 states/eV/atom

a b c (Å): 8.111 8.111 8.919
angles (deg): 112.36 112.36 90.30
Atoms (fractional coordinates):
1 Rb 0.000 0.000 0.000
2 Rb 0.777 0.223 0.500
3 Sn 0.212 0.077 0.728
4 Sn 0.396 0.437 0.238
5 Sn 0.563 0.604 0.762
6 Sn 0.923 0.788 0.272
7 Sb 0.020 0.682 0.569
8 Sb 0.183 0.501 0.922
9 Sb 0.240 0.356 0.463
10 Sb 0.318 0.980 0.431
11 Sb 0.499 0.817 0.078
12 Sb 0.556 0.156 0.035
13 Sb 0.644 0.760 0.537
14 Sb 0.844 0.444 0.965

This record from the Alexandria database describes a geometry-optimized Mg4GaRh structure. The functional is GGA-PBE.

Properties
- Calculated formation energy: -0.24 eV per atom
- Fermi-level density of states: 0.420 states/eV/atom
- Distance to the lowest polymorph of the same formula: 57 meV/atom

a b c (Å): 7.271 7.271 5.571
angles (deg): 104.06 104.06 111.89
Atoms (fractional coordinates):
1 Mg 0.064 0.712 0.930
2 Mg 0.216 0.361 0.680
3 Mg 0.288 0.936 0.570
4 Mg 0.361 0.216 0.180
5 Mg 0.639 0.784 0.820
6 Mg 0.712 0.064 0.430
7 Mg 0.784 0.639 0.320
8 Mg 0.936 0.288 0.070
9 Ga 0.372 0.628 0.250
10 Ga 0.628 0.372 0.750
11 Rh 0.004 0.996 0.750
12 Rh 0.996 0.004 0.250

This record from the Alexandria database describes a geometry-optimized Nd4BiPt2 structure. The functional is GGA-PBE.

Properties
- Calculated formation energy: -0.85 eV per atom
- Fermi-level density of states: 1.065 states/eV/atom

a b c (Å): 8.116 8.116 8.116
angles (deg): 108.50 108.50 111.44
Atoms (fractional coordinates):
1 Nd 0.006 0.766 0.114
2 Nd 0.098 0.484 0.739
3 Nd 0.109 0.994 0.761
4 Nd 0.234 0.348 0.239
5 Nd 0.516 0.256 0.614
6 Nd 0.641 0.902 0.386
7 Nd 0.652 0.891 0.886
8 Nd 0.744 0.359 0.261
9 Bi 0.250 0.750 0.500
10 Bi 0.500 0.500 0.000
11 Pt 0.375 0.029 0.154
12 Pt 0.779 0.625 0.654
13 Pt 0.875 0.221 0.846
14 Pt 0.971 0.125 0.346